{
  "formula": "HfZrGaRu2",
  "functional": "PBE-GGA",
  "state": "optimized geometry",
  "crystal_system": "tetragonal",
  "sg": "P4/mmm (123)",
  "formation_enthalpy_0k_ev_per_atom": 0.920,
  "lattice_angstrom": [[4.7841, 0.0000, 0.0000], [0.0000, 4.7841, 0.0000], [0.0000, 0.0000, 4.9884]],
  "species": ["Hf", "Zr", "Ga", "Ru", "Ru"],
  "frac_coords": [[0.0000, 0.0000, 0.0000], [0.5000, 0.5000, 0.5000], [0.0000, 0.0000, 0.5000], [0.0000, 0.5000, 0.0000], [0.5000, 0.0000, 0.0000]]
}

{
  "formula": "Sc2TlMo",
  "functional": "PBE-GGA",
  "state": "optimized geometry",
  "crystal_system": "tetragonal",
  "sg": "I-42d (122)",
  "formation_enthalpy_0k_ev_per_atom": 0.603,
  "lattice_angstrom": [[-2.0933, 2.0933, 10.0372], [2.0933, -2.0933, 10.0372], [2.0933, 2.0933, -10.0372]],
  "species": ["Sc", "Sc", "Sc", "Sc", "Tl", "Tl", "Mo", "Mo"],
  "frac_coords": [[0.1103, 0.6250, 0.9853], [0.3750, 0.3603, 0.4853], [0.6397, 0.1250, 0.0147], [0.8750, 0.8897, 0.5147], [0.2500, 0.7500, 0.5000], [0.5000, 0.5000, 0.0000], [0.0000, 0.0000, 0.0000], [0.7500, 0.2500, 0.5000]]
}

{
  "formula": "NbCdPb2O6",
  "functional": "PBE-GGA",
  "state": "optimized geometry",
  "crystal_system": "monoclinic",
  "sg": "P2_1/c (14)",
  "formation_energy_uncorrected_kj_per_mol_atoms": -147.78,
  "lattice_angstrom": [[5.7805, 0.0000, 0.0000], [0.0000, 5.9994, 0.0000], [-5.7179, 0.0000, 8.3558]],
  "species": ["Nb", "Nb", "Cd", "Cd", "Pb", "Pb", "Pb", "Pb", "O", "O", "O", "O", "O", "O", "O", "O", "O", "O", "O", "O"],
  "frac_coords": [[0.0000, 0.0000, 0.0000], [0.0000, 0.5000, 0.5000], [0.5000, 0.0000, 0.5000], [0.5000, 0.5000, 0.0000], [0.2637, 0.0423, 0.7545], [0.2637, 0.4577, 0.2545], [0.7363, 0.5423, 0.7455], [0.7363, 0.9577, 0.2455], [0.1217, 0.0476, 0.2309], [0.1217, 0.4524, 0.7309], [0.2319, 0.7180, 0.0619], [0.2319, 0.7820, 0.5619], [0.3372, 0.1761, 0.0472], [0.3372, 0.3239, 0.5472], [0.6628, 0.6761, 0.4528], [0.6628, 0.8239, 0.9528], [0.7681, 0.2180, 0.4381], [0.7681, 0.2820, 0.9381], [0.8783, 0.5476, 0.2691], [0.8783, 0.9524, 0.7691]]
}

{
  "formula": "ErNb6S8",
  "functional": "PBE-GGA",
  "state": "optimized geometry",
  "crystal_system": "trigonal",
  "sg": "R-3 (148)",
  "formation_energy_uncorrected_kj_per_mol_atoms": -99.74,
  "lattice_angstrom": [[4.6135, 2.6636, 3.9401], [-4.6135, 2.6636, 3.9401], [0.0000, -5.3272, 3.9401]],
  "species": ["Er", "Nb", "Nb", "Nb", "Nb", "Nb", "Nb", "S", "S", "S", "S", "S", "S", "S", "S"],
  "frac_coords": [[0.0000, 0.0000, 0.0000], [0.2014, 0.5539, 0.4098], [0.4098, 0.2014, 0.5539], [0.4461, 0.5902, 0.7986], [0.5539, 0.4098, 0.2014], [0.5902, 0.7986, 0.4461], [0.7986, 0.4461, 0.5902], [0.1327, 0.3853, 0.7577], [0.2285, 0.2285, 0.2285], [0.2423, 0.8673, 0.6147], [0.3853, 0.7577, 0.1327], [0.6147, 0.2423, 0.8673], [0.7577, 0.1327, 0.3853], [0.7715, 0.7715, 0.7715], [0.8673, 0.6147, 0.2423]]
}

{
  "formula": "HfIn3Ag",
  "functional": "PBE-GGA",
  "state": "optimized geometry",
  "crystal_system": "cubic",
  "sg": "Pm-3m (221)",
  "formation_enthalpy_0k_ev_per_atom": 0.713,
  "lattice_angstrom": [[5.1777, 0.0000, 0.0000], [0.0000, 5.1777, 0.0000], [0.0000, 0.0000, 5.1777]],
  "species": ["Hf", "In", "In", "In", "Ag"],
  "frac_coords": [[0.0000, 0.0000, 0.0000], [0.0000, 0.5000, 0.5000], [0.5000, 0.0000, 0.5000], [0.5000, 0.5000, 0.0000], [0.5000, 0.5000, 0.5000]]
}

{
  "formula": "SnBi2C",
  "functional": "PBE-GGA",
  "state": "optimized geometry",
  "crystal_system": "tetragonal",
  "sg": "I-42d (122)",
  "formation_enthalpy_0k_ev_per_atom": 0.952,
  "lattice_angstrom": [[-3.5843, 3.5843, 4.1974], [3.5843, -3.5843, 4.1974], [3.5843, 3.5843, -4.1974]],
  "species": ["Sn", "Sn", "Bi", "Bi", "Bi", "Bi", "C", "C"],
  "frac_coords": [[0.0000, 0.0000, 0.0000], [0.7500, 0.2500, 0.5000], [0.2159, 0.6250, 0.0909], [0.3750, 0.4659, 0.5909], [0.5341, 0.1250, 0.9091], [0.8750, 0.7841, 0.4091], [0.2500, 0.7500, 0.5000], [0.5000, 0.5000, 0.0000]]
}

{
  "formula": "Ni2PdAu",
  "functional": "PBE-GGA",
  "state": "optimized geometry",
  "crystal_system": "tetragonal",
  "sg": "I-42d (122)",
  "formation_enthalpy_0k_ev_per_atom": 0.433,
  "lattice_angstrom": [[-3.4083, 3.4083, 2.6387], [3.4083, -3.4083, 2.6387], [3.4083, 3.4083, -2.6387]],
  "species": ["Ni", "Ni", "Ni", "Ni", "Pd", "Pd", "Au", "Au"],
  "frac_coords": [[0.1186, 0.6250, 0.9936], [0.3750, 0.3686, 0.4936], [0.6314, 0.1250, 0.0064], [0.8750, 0.8814, 0.5064], [0.0000, 0.0000, 0.0000], [0.7500, 0.2500, 0.5000], [0.2500, 0.7500, 0.5000], [0.5000, 0.5000, 0.0000]]
}

{
  "formula": "CsOsO2",
  "functional": "PBE-GGA",
  "state": "optimized geometry",
  "crystal_system": "trigonal",
  "sg": "R-3m (166)",
  "formation_energy_uncorrected_kj_per_mol_atoms": -57.95,
  "lattice_angstrom": [[1.7855, 1.0308, 7.5558], [-1.7855, 1.0308, 7.5558], [0.0000, -2.0617, 7.5558]],
  "species": ["Cs", "Os", "O", "O"],
  "frac_coords": [[0.0000, 0.0000, 0.0000], [0.5000, 0.5000, 0.5000], [0.4227, 0.4227, 0.4227], [0.5773, 0.5773, 0.5773]]
}

Per-record total magnetization, μB per cell: 0.00 1.34 0.00 0.00 0.00 0.00 3.11 0.00
Per-record calculated volume, A^3/atom: 22.8 22.0 14.5 19.4 27.8 27.0 15.3 20.9